(1)
This record from the Alexandria database describes a relaxed structure of Tb4Te2Ru. The functional is PBE.

```
7
Lattice="-1.795 -2.892 -2.388 0.843 -4.698 5.056 -6.013 5.585 1.375" Properties=species:S:1:pos:R:3 pbc="T T T"
Tb -2.160 -1.765 0.141
Te -3.585 -2.963 2.664
Tb -4.805 -0.240 3.902
Te -3.380 0.959 1.379
Tb -0.780 -2.804 3.982
Tb -6.185 0.799 0.061
Ru 0.000 0.000 0.000
```

Calculated values
Uncorrected formation energy (eV per atom): -0.79
V (Å³/cell): 209.8
Space group: C2/m, No. 12

=====

(2)
This record from the Alexandria database describes a relaxed structure of Tb5Te2Ru. The functional is PBE.

```
16
Lattice="-1.159 -5.591 1.422 4.231 3.228 3.965 -11.132 4.415 8.283" Properties=species:S:1:pos:R:3 pbc="T T T"
Te -9.086 4.318 9.572
Ru -1.182 1.294 4.121
Tb -1.587 2.023 6.659
Tb -0.915 0.598 1.607
Tb -6.126 3.575 9.060
Te 1.026 -2.266 4.099
Tb 1.432 0.826 4.413
Te -4.835 2.633 6.409
Tb -4.324 0.335 9.965
Te -3.225 -0.581 7.262
Ru -6.878 0.759 9.550
Tb -3.737 1.717 3.706
Tb -6.473 0.029 7.012
Tb -1.934 -1.522 4.611
Tb -9.492 1.226 9.258
Tb -7.145 1.454 12.064
```

Calculated values
Uncorrected formation energy (eV per atom): -0.52
V (Å³/cell): 509.7
Space group: Cmcm, No. 63
Energy above the most stable polymorph in this dataset (eV per atom): 0.266

=====

(3)
This record from the Alexandria database describes a relaxed structure of Tb5Te5Ru. The functional is PBE.

```
11
Lattice="-2.954 -5.393 0.125 3.669 1.347 -6.467 5.752 -3.020 5.632" Properties=species:S:1:pos:R:3 pbc="T T T"
Tb 0.929 -4.100 -3.615
Tb 4.064 -5.746 -0.529
Te 3.990 -5.632 2.584
Tb 2.402 -1.320 -0.180
Ru 0.000 0.000 0.000
Tb -1.477 -2.696 0.063
Te 2.876 -1.510 2.816
Te 1.233 -4.191 -0.377
Te 2.477 -1.434 -3.293
Te 5.234 -2.875 -0.332
Tb 5.538 -2.966 2.906
```

Calculated values
Uncorrected formation energy (eV per atom): -1.14
V (Å³/cell): 345.0
Space group: C2/m, No. 12

=====

(4)
This record from the Alexandria database describes a relaxed structure of Tb3Te2Ru. The functional is PBE.

```
6
Lattice="3.981 0.000 -1.128 -0.630 5.559 -2.225 0.019 -0.194 7.658" Properties=species:S:1:pos:R:3 pbc="T T T"
Ru -0.315 2.780 -1.112
Te 2.596 0.924 1.574
Tb 0.000 0.000 0.000
Te 0.774 4.441 2.731
Tb 2.134 3.479 -0.058
Tb 1.236 1.886 4.363
```

Calculated values
Uncorrected formation energy (eV per atom): -0.91
V (Å³/cell): 167.7
Space group: Immm, No. 71
Energy above the most stable polymorph in this dataset (eV per atom): 0.000

=====

(5)
This record from the Alexandria database describes a relaxed structure of Tb3TeRu. The functional is PBE.

```
10
Lattice="-2.175 3.573 0.929 -5.041 -1.474 3.751 4.124 -0.084 9.963" Properties=species:S:1:pos:R:3 pbc="T T T"
Ru -1.672 2.057 1.903
Tb 0.602 1.358 9.903
Tb -2.457 -0.252 8.942
Tb -4.288 1.818 6.577
Te -2.360 1.678 11.625
Ru 0.734 0.607 3.228
Tb -4.896 -0.383 3.743
Tb -1.083 1.573 5.139
Te 0.505 -0.572 7.220
Tb -3.865 2.945 3.234
```

Calculated values
Uncorrected formation energy (eV per atom): -0.68
V (Å³/cell): 272.0
Space group: C2/m, No. 12
Energy above the most stable polymorph in this dataset (eV per atom): 0.009

=====

(6)
This record from the Alexandria database describes a relaxed structure of TbThTeRu. The functional is PBE.

```
4
Lattice="-2.122 -3.361 -1.187 1.201 0.404 3.948 -5.399 5.600 1.069" Properties=species:S:1:pos:R:3 pbc="T T T"
Th 0.587 0.401 3.691
Ru -4.713 4.087 2.748
Te -3.630 -1.018 0.765
Tb -4.425 2.071 0.690
```

Calculated values
Uncorrected formation energy (eV per atom): -0.81
V (Å³/cell): 111.4
Space group: Cm, No. 8

=====

(7)
This record from the Alexandria database describes a relaxed structure of Tb2Th2Ru3. The functional is PBE.

```
7
Lattice="-0.529 1.872 -4.389 3.621 -3.026 0.901 -5.686 -6.658 0.480" Properties=species:S:1:pos:R:3 pbc="T T T"
Tb -1.864 -2.475 -0.827
Ru 1.092 -2.913 -1.370
Ru 0.000 0.000 0.000
Ru -3.686 -4.899 -1.638
Tb -0.730 -5.336 -2.181
Th 0.172 -0.666 -2.928
Th -2.766 -7.146 -0.079
```

Calculated values
Energy relative to the elements (kcal/mol of atoms): -9.0
V (Å³/cell): 166.1
Space group: C2/m, No. 12
Energy above the most stable polymorph in this dataset (eV per atom): 0.000

=====

(8)
This record from the Alexandria database describes a relaxed structure of Tb2Th2Ru3. The functional is PBE.

```
7
Lattice="3.977 0.009 0.000 -1.959 6.850 0.575 -0.006 -0.435 6.286" Properties=species:S:1:pos:R:3 pbc="T T T"
Ru 0.000 0.000 0.000
Tb 0.022 1.330 2.453
Th 0.019 4.858 1.156
Th 1.993 1.567 5.705
Ru 2.004 3.214 2.277
Tb 1.989 5.094 4.407
Ru 0.008 3.211 4.584
```

Calculated values
Energy relative to the elements (kcal/mol of atoms): -7.6
V (Å³/cell): 172.3
Space group: P-1, No. 2
Energy above the most stable polymorph in this dataset (eV per atom): 0.062

=====

(9)
This record from the Alexandria database describes a relaxed structure of Tb2ThRu9. The functional is PBE.

```
12
Lattice="-3.618 -3.634 1.207 1.485 -4.609 2.075 -1.437 0.670 9.206" Properties=species:S:1:pos:R:3 pbc="T T T"
Tb -2.438 -6.804 6.695
Tb -1.132 -0.768 5.792
Ru -2.331 -4.338 8.838
Ru -3.093 -1.976 7.774
Ru -1.785 -3.786 6.244
Ru -2.138 -2.122 10.193
Ru -3.093 -5.097 4.269
Ru -0.477 -5.597 4.714
Ru -0.477 -2.475 8.219
Ru -1.432 -5.450 2.295
Ru -1.239 -3.234 3.650
Th 0.000 0.000 0.000
```

Calculated values
Energy relative to the elements (kcal/mol of atoms): -3.7
V (Å³/cell): 212.3
Space group: R-3m, No. 166

=====

(10)
This record from the Alexandria database describes a relaxed structure of Tb2ThRu2. The functional is PBE.

```
10
Lattice="4.446 0.000 0.000 0.000 4.308 -0.209 0.000 -1.538 12.552" Properties=species:S:1:pos:R:3 pbc="T T T"
Tb 1.112 2.702 10.969
Tb 3.335 0.068 1.374
Ru 1.112 2.555 8.050
Ru 3.335 0.215 4.293
Th 3.335 0.458 9.126
Tb 3.335 2.462 6.094
Ru 1.112 2.203 0.751
Tb 1.112 0.308 6.250
Ru 3.335 0.567 11.592
Th 1.112 2.311 3.217
```

Calculated values
Energy relative to the elements (kcal/mol of atoms): -6.3
V (Å³/cell): 239.0
Space group: P2_1/m, No. 11
Energy above the most stable polymorph in this dataset (eV per atom): 0.100

=====

(11)
This record from the Alexandria database describes a relaxed structure of Tb2ThRu2. The functional is PBE.

```
5
Lattice="-2.218 -1.307 3.928 2.374 -0.325 4.040 -1.337 6.104 1.275" Properties=species:S:1:pos:R:3 pbc="T T T"
Ru -1.258 -0.279 4.812
Ru 0.078 4.750 4.431
Tb 0.752 1.670 3.788
Tb -1.933 2.802 5.456
Th -1.109 -0.654 1.964
```

Calculated values
Energy relative to the elements (kcal/mol of atoms): -8.6
V (Å³/cell): 121.8
Space group: P-3m1, No. 164
Energy above the most stable polymorph in this dataset (eV per atom): 0.000

=====

(12)
This record from the Alexandria database describes a relaxed structure of Tb3ThRu4. The functional is PBE.

```
8
Lattice="4.716 0.000 -1.273 -0.338 4.710 -1.253 -0.463 -0.527 7.657" Properties=species:S:1:pos:R:3 pbc="T T T"
Ru 3.496 3.739 3.579
Tb -0.169 2.355 -0.627
Th 2.358 0.000 -0.637
Ru 2.608 2.800 0.288
Ru 0.419 0.444 1.552
Ru 1.307 1.383 4.842
Tb 3.233 0.927 2.603
Tb 0.682 3.256 2.527
```

Calculated values
Energy relative to the elements (kcal/mol of atoms): -8.7
V (Å³/cell): 163.9
Space group: I4/mmm, No. 139

=====

Total moment for the records above, in order: 0.00; 0.00; 0.00; 0.00; 0.00; 0.00; 0.00; 0.00; 0.00; 0.00; 0.00; 0.00 μB/cell